(1)
A relaxed structure of NaPr5Tl8. Source: Alexandria, functional GGA-PBE.

Properties
The volume is 432.7 Å³/f.u. Its total energy is -47.79 eV per formula unit. As for the density of states at the Fermi level: 10.32 states/eV/f.u.

a b c (Å): 8.253 8.253 8.253
angles (deg): 109.01 110.40 109.01
Sites, in units of the cell vectors:
Pr1 0.397 0.142 0.016
Pr2 0.745 0.620 0.603
Pr3 0.984 0.380 0.126
Pr4 0.500 0.000 0.500
Pr5 0.874 0.858 0.255
Tl1 0.625 0.901 0.872
Tl2 0.609 0.418 0.853
Tl3 0.276 0.247 0.375
Tl4 0.128 0.753 0.029
Tl5 0.435 0.582 0.191
Tl6 0.971 0.099 0.724
Tl7 0.809 0.244 0.391
Tl8 0.147 0.756 0.565
Na1 0.250 0.500 0.750

---

(2)
A relaxed structure of LiAgO2. Source: Alexandria, functional GGA-PBE.

Properties
The formation energy (no corrections) comes out at -363.0 meV/atom. The volume is 41.6 Å³/f.u. Its total energy is -16.13 eV per formula unit. As for the density of states at the Fermi level: 1.45 states/eV/f.u.

a b c (Å): 3.891 3.891 3.891
angles (deg): 60.00 60.00 60.00
Sites, in units of the cell vectors:
O1 0.750 0.750 0.750
O2 0.250 0.250 0.250
Ag1 0.500 0.500 0.500
Li1 0.000 0.000 0.000

---

(3)
A relaxed structure of LaTePS2. Source: Alexandria, functional GGA-PBE.

Properties
The formation energy (no corrections) comes out at 294.0 meV/atom. The volume is 166.9 Å³/f.u. Its total energy is -20.26 eV per formula unit. As for the density of states at the Fermi level: 9.53 states/eV/f.u. The energy above the lowest structure with this stoichiometry comes out at 3.14 eV per formula unit.

a b c (Å): 5.352 5.352 5.826
angles (deg): 90.00 90.00 90.00
Sites, in units of the cell vectors:
S1 0.500 0.000 0.000
S2 0.000 0.500 0.000
La1 0.000 0.000 0.000
Te1 0.500 0.500 0.500
P1 0.000 0.000 0.500

---

(4)
A relaxed structure of InSiBi3. Source: Alexandria, functional GGA-PBE.

Properties
The formation energy (no corrections) comes out at 495.0 meV/atom. The volume is 165.8 Å³/f.u. Its total energy is -17.33 eV per formula unit. As for the density of states at the Fermi level: 3.08 states/eV/f.u. The energy above the lowest structure with this stoichiometry comes out at 0.00 eV per formula unit.

a b c (Å): 5.494 5.494 5.494
angles (deg): 90.00 90.00 90.00
Sites, in units of the cell vectors:
Bi1 0.000 0.000 0.500
Bi2 0.500 0.000 0.000
Bi3 0.000 0.500 0.000
Si1 0.000 0.000 0.000
In1 0.500 0.500 0.500

---

(5)
A relaxed structure of Rb5TeO4F2. Source: Alexandria, functional GGA-PBE.

Properties
The formation energy (no corrections) comes out at -1767.0 meV/atom. The volume is 299.0 Å³/f.u. Its total energy is -52.76 eV per formula unit. As for the density of states at the Fermi level: 2.59 states/eV/f.u.

a b c (Å): 6.741 6.461 8.047
angles (deg): 90.00 90.00 121.44
Sites, in units of the cell vectors:
Rb1 0.714 0.632 0.242
Rb2 0.397 0.000 0.500
Rb3 0.082 0.368 0.758
Rb4 0.714 0.632 0.758
Rb5 0.082 0.368 0.242
O1 0.589 0.000 0.808
O2 0.102 0.712 0.000
O3 0.390 0.288 0.000
O4 0.589 0.000 0.192
F1 0.373 0.412 0.500
F2 0.961 0.588 0.500
Te1 0.414 0.000 0.000

---

(6)
A relaxed structure of Ni7PdPt12. Source: Alexandria, functional GGA-PBE.

Properties
The volume is 360.1 Å³/f.u. Its total energy is -105.63 eV per formula unit. As for the density of states at the Fermi level: 33.57 states/eV/f.u.

a b c (Å): 7.763 7.763 7.763
angles (deg): 109.47 109.47 109.47
Sites, in units of the cell vectors:
Pt1 0.148 0.420 0.272
Pt2 0.272 0.852 0.124
Pt3 0.728 0.852 0.580
Pt4 0.580 0.728 0.852
Pt5 0.148 0.876 0.728
Pt6 0.124 0.272 0.852
Pt7 0.728 0.148 0.876
Pt8 0.272 0.148 0.420
Pt9 0.852 0.580 0.728
Pt10 0.852 0.124 0.272
Pt11 0.876 0.728 0.148
Pt12 0.420 0.272 0.148
Ni1 0.500 0.500 0.500
Ni2 0.500 0.500 0.000
Ni3 0.000 0.000 0.500
Ni4 0.500 0.000 0.500
Ni5 0.500 0.000 0.000
Ni6 0.000 0.500 0.000
Ni7 0.000 0.500 0.500
Pd1 0.000 0.000 0.000